(1)
# ScSi2Se meta-GGA SCAN single point on PBEsol structure
# E_form (uncorrected) = -37 meV per atom
# volume = 17.5 A^3/atom
# crystal system = tetragonal
data_ScSi2Se
_chemical_formula_sum 'Sc1 Si2 Se1'
_cell_length_a 4.597
_cell_length_b 4.597
_cell_length_c 3.306
_cell_angle_alpha 90.00
_cell_angle_beta 90.00
_cell_angle_gamma 90.00
_symmetry_space_group_name_H-M 'P 4/m m m'
_symmetry_Int_Tables_number 123
_symmetry_space_group_name_Hall '-P 4 2'
loop_
_atom_site_label
_atom_site_type_symbol
_atom_site_fract_x
_atom_site_fract_y
_atom_site_fract_z
Sc1 Sc 0.000 0.000 0.000
Si1 Si 0.000 0.500 0.500
Se1 Se 0.500 0.500 0.000

(2)
# ScSi2Se meta-GGA SCAN single point on PBEsol structure
# E_form (uncorrected) = -371 meV per atom
# volume = 17.9 A^3/atom
# crystal system = monoclinic
data_ScSi2Se
_chemical_formula_sum 'Sc2 Si4 Se2'
_cell_length_a 10.588
_cell_length_b 3.609
_cell_length_c 3.758
_cell_angle_alpha 90.00
_cell_angle_beta 90.87
_cell_angle_gamma 90.00
_symmetry_space_group_name_H-M 'C 1 2/m 1'
_symmetry_Int_Tables_number 12
loop_
_symmetry_equiv_pos_as_xyz
'x,y,z'
'-x,-y,-z'
'-x,y,-z'
'x,-y,z'
'x+1/2,y+1/2,z'
'-x+1/2,-y+1/2,-z'
'-x+1/2,y+1/2,-z'
'x+1/2,-y+1/2,z'
loop_
_atom_site_label
_atom_site_type_symbol
_atom_site_fract_x
_atom_site_fract_y
_atom_site_fract_z
Sc1 Sc 0.000 0.000 0.000
Si1 Si 0.239 0.500 0.224
Se1 Se 0.000 0.500 0.500

(3)
# ScSiSe2 meta-GGA SCAN single point on PBEsol structure
# E_form (uncorrected) = -757 meV per atom
# volume = 19.9 A^3/atom
# crystal system = tetragonal
data_ScSiSe2
_chemical_formula_sum 'Sc1 Si1 Se2'
_cell_length_a 3.816
_cell_length_b 3.816
_cell_length_c 5.458
_cell_angle_alpha 90.00
_cell_angle_beta 90.00
_cell_angle_gamma 90.00
_symmetry_space_group_name_H-M 'P 4/m m m'
_symmetry_Int_Tables_number 123
_symmetry_space_group_name_Hall '-P 4 2'
loop_
_atom_site_label
_atom_site_type_symbol
_atom_site_fract_x
_atom_site_fract_y
_atom_site_fract_z
Sc1 Sc 0.000 0.000 0.000
Si1 Si 0.500 0.500 0.500
Se1 Se 0.000 0.000 0.500
Se2 Se 0.500 0.500 0.000

(4)
# ScSiSe2 meta-GGA SCAN single point on PBEsol structure
# E_form (uncorrected) = -657 meV per atom
# volume = 22.1 A^3/atom
# crystal system = trigonal
data_ScSiSe2
_chemical_formula_sum 'Sc3 Si3 Se6'
_cell_length_a 3.5768
_cell_length_b 3.5768
_cell_length_c 23.9344
_cell_angle_alpha 90.00
_cell_angle_beta 90.00
_cell_angle_gamma 120.00
_symmetry_space_group_name_H-M 'R 3 m'
_symmetry_Int_Tables_number 160
_symmetry_space_group_name_Hall 'R 3 -2"'
loop_
_atom_site_label
_atom_site_type_symbol
_atom_site_fract_x
_atom_site_fract_y
_atom_site_fract_z
Sc1 Sc 0.0000 0.0000 0.0000
Si1 Si 0.0000 0.0000 0.2406
Se1 Se 0.0000 0.0000 0.5159
Se2 Se 0.0000 0.0000 0.7281

(5)
# ScSi2Se meta-GGA SCAN single point on PBEsol structure
# E_form (uncorrected) = -181 meV per atom
# volume = 18.2 A^3/atom
# crystal system = tetragonal
data_ScSi2Se
_chemical_formula_sum 'Sc1 Si2 Se1'
_cell_length_a 3.821
_cell_length_b 3.821
_cell_length_c 4.988
_cell_angle_alpha 90.00
_cell_angle_beta 90.00
_cell_angle_gamma 90.00
_symmetry_space_group_name_H-M 'P 4/m m m'
_symmetry_Int_Tables_number 123
_symmetry_space_group_name_Hall '-P 4 2'
loop_
_atom_site_label
_atom_site_type_symbol
_atom_site_fract_x
_atom_site_fract_y
_atom_site_fract_z
Sc1 Sc 0.000 0.000 0.000
Si1 Si 0.500 0.500 0.241
Se1 Se 0.000 0.000 0.500

(6)
# Sc2SnSe2 meta-GGA SCAN single point on PBEsol structure
# E_form (uncorrected) = -849 meV per atom
# volume = 24.5 A^3/atom
# crystal system = tetragonal
data_Sc2SnSe2
_chemical_formula_sum 'Sc4 Sn2 Se4'
_cell_length_a 4.612
_cell_length_b 4.612
_cell_length_c 11.507
_cell_angle_alpha 90.00
_cell_angle_beta 90.00
_cell_angle_gamma 90.00
_symmetry_space_group_name_H-M 'I 4/m m m'
_symmetry_Int_Tables_number 139
_symmetry_space_group_name_Hall '-I 4 2'
loop_
_atom_site_label
_atom_site_type_symbol
_atom_site_fract_x
_atom_site_fract_y
_atom_site_fract_z
Sc1 Sc 0.000 0.000 0.138
Sn1 Sn 0.000 0.000 0.500
Se1 Se 0.000 0.500 0.250

(7)
# SrScSe2 meta-GGA SCAN single point on PBEsol structure
# E_form (uncorrected) = -1783 meV per atom
# volume = 24.4 A^3/atom
# crystal system = orthorhombic
# relative energy among the computed polymorphs = 78 kJ/mol of formula units
data_SrScSe2
_chemical_formula_sum 'Sr2 Sc2 Se4'
_cell_length_a 3.681
_cell_length_b 3.788
_cell_length_c 13.970
_cell_angle_alpha 90.00
_cell_angle_beta 90.00
_cell_angle_gamma 90.00
_symmetry_space_group_name_H-M 'I m m 2'
_symmetry_Int_Tables_number 44
loop_
_symmetry_equiv_pos_as_xyz
'x,y,z'
'-x,-y,z'
'-x,y,z'
'x,-y,z'
'x+1/2,y+1/2,z+1/2'
'-x+1/2,-y+1/2,z+1/2'
'-x+1/2,y+1/2,z+1/2'
'x+1/2,-y+1/2,z+1/2'
loop_
_atom_site_label
_atom_site_type_symbol
_atom_site_fract_x
_atom_site_fract_y
_atom_site_fract_z
Sr1 Sr 0.000 0.000 0.000
Sc1 Sc 0.000 0.500 0.751
Se1 Se 0.000 0.000 0.393
Se2 Se 0.000 0.500 0.177

(8)
# SrScSe2 meta-GGA SCAN single point on PBEsol structure
# E_form (uncorrected) = -1985 meV per atom
# volume = 23.8 A^3/atom
# crystal system = trigonal
# relative energy among the computed polymorphs = 0 kJ/mol of formula units
data_SrScSe2
_chemical_formula_sum 'Sr3 Sc3 Se6'
_cell_length_a 4.0231
_cell_length_b 4.0231
_cell_length_c 20.4150
_cell_angle_alpha 90.00
_cell_angle_beta 90.00
_cell_angle_gamma 120.00
_symmetry_space_group_name_H-M 'R -3 m'
_symmetry_Int_Tables_number 166
_symmetry_space_group_name_Hall '-R 3 2"'
loop_
_atom_site_label
_atom_site_type_symbol
_atom_site_fract_x
_atom_site_fract_y
_atom_site_fract_z
Sr1 Sr 0.0000 0.0000 0.0000
Sc1 Sc 0.0000 0.0000 0.5000
Se1 Se 0.0000 0.0000 0.2391

(9)
# Sr2ScSe meta-GGA SCAN single point on PBEsol structure
# E_form (uncorrected) = -706 meV per atom
# volume = 31.4 A^3/atom
# crystal system = tetragonal
data_Sr2ScSe
_chemical_formula_sum 'Sr2 Sc1 Se1'
_cell_length_a 3.688
_cell_length_b 3.688
_cell_length_c 9.239
_cell_angle_alpha 90.00
_cell_angle_beta 90.00
_cell_angle_gamma 90.00
_symmetry_space_group_name_H-M 'P 4 m m'
_symmetry_Int_Tables_number 99
loop_
_symmetry_equiv_pos_as_xyz
'x,y,z'
'-y,x,z'
'-x,-y,z'
'y,-x,z'
'-x,y,z'
'y,x,z'
'x,-y,z'
'-y,-x,z'
loop_
_atom_site_label
_atom_site_type_symbol
_atom_site_fract_x
_atom_site_fract_y
_atom_site_fract_z
Sr1 Sr 0.000 0.000 0.000
Sr2 Sr 0.500 0.500 0.359
Sc1 Sc 0.000 0.000 0.636
Se1 Se 0.500 0.500 0.749

(10)
# SrScSe2 meta-GGA SCAN single point on PBEsol structure
# E_form (uncorrected) = -521 meV per atom
# volume = 22.6 A^3/atom
# crystal system = cubic
# relative energy among the computed polymorphs = 565 kJ/mol of formula units
data_SrScSe2
_chemical_formula_sum 'Sr4 Sc4 Se8'
_cell_length_a 7.125
_cell_length_b 7.125
_cell_length_c 7.125
_cell_angle_alpha 90.00
_cell_angle_beta 90.00
_cell_angle_gamma 90.00
_symmetry_space_group_name_H-M 'F -4 3 m'
_symmetry_Int_Tables_number 216
_symmetry_space_group_name_Hall 'F -4 2 3'
loop_
_atom_site_label
_atom_site_type_symbol
_atom_site_fract_x
_atom_site_fract_y
_atom_site_fract_z
Sr1 Sr 0.000 0.000 0.000
Sc1 Sc 0.250 0.250 0.750
Se1 Se 0.000 0.000 0.500
Se2 Se 0.250 0.250 0.250

(11)
# SrScSe2 meta-GGA SCAN single point on PBEsol structure
# E_form (uncorrected) = -1555 meV per atom
# volume = 22.6 A^3/atom
# crystal system = monoclinic
# relative energy among the computed polymorphs = 166 kJ/mol of formula units
data_SrScSe2
_chemical_formula_sum 'Sr2 Sc2 Se4'
_cell_length_a 7.150
_cell_length_b 7.150
_cell_length_c 3.529
_cell_angle_alpha 90.00
_cell_angle_beta 90.22
_cell_angle_gamma 90.00
_symmetry_space_group_name_H-M 'C 1 2/m 1'
_symmetry_Int_Tables_number 12
loop_
_symmetry_equiv_pos_as_xyz
'x,y,z'
'-x,-y,-z'
'-x,y,-z'
'x,-y,z'
'x+1/2,y+1/2,z'
'-x+1/2,-y+1/2,-z'
'-x+1/2,y+1/2,-z'
'x+1/2,-y+1/2,z'
loop_
_atom_site_label
_atom_site_type_symbol
_atom_site_fract_x
_atom_site_fract_y
_atom_site_fract_z
Sr1 Sr 0.000 0.000 0.000
Sc1 Sc 0.000 0.500 0.000
Se1 Se 0.250 0.250 0.500

(12)
# Sr2ScSe meta-GGA SCAN single point on PBEsol structure
# E_form (uncorrected) = -781 meV per atom
# volume = 34.6 A^3/atom
# crystal system = monoclinic
data_Sr2ScSe
_chemical_formula_sum 'Sr4 Sc2 Se2'
_cell_length_a 6.955
_cell_length_b 4.019
_cell_length_c 10.183
_cell_angle_alpha 90.00
_cell_angle_beta 103.22
_cell_angle_gamma 90.00
_symmetry_space_group_name_H-M 'C 1 2/m 1'
_symmetry_Int_Tables_number 12
loop_
_symmetry_equiv_pos_as_xyz
'x,y,z'
'-x,-y,-z'
'-x,y,-z'
'x,-y,z'
'x+1/2,y+1/2,z'
'-x+1/2,-y+1/2,-z'
'-x+1/2,y+1/2,-z'
'x+1/2,-y+1/2,z'
loop_
_atom_site_label
_atom_site_type_symbol
_atom_site_fract_x
_atom_site_fract_y
_atom_site_fract_z
Sr1 Sr 0.232 0.000 0.194
Sc1 Sc 0.000 0.000 0.500
Se1 Se 0.000 0.500 0.000

(13)
# Sc3TaSe meta-GGA SCAN single point on PBEsol structure
# E_form (uncorrected) = 552 meV per atom
# volume = 25.6 A^3/atom
# crystal system = cubic
data_Sc3TaSe
_chemical_formula_sum 'Sc3 Ta1 Se1'
_cell_length_a 5.038
_cell_length_b 5.038
_cell_length_c 5.038
_cell_angle_alpha 90.00
_cell_angle_beta 90.00
_cell_angle_gamma 90.00
_symmetry_space_group_name_H-M 'P m -3 m'
_symmetry_Int_Tables_number 221
_symmetry_space_group_name_Hall '-P 4 2 3'
loop_
_atom_site_label
_atom_site_type_symbol
_atom_site_fract_x
_atom_site_fract_y
_atom_site_fract_z
Sc1 Sc 0.000 0.000 0.500
Ta1 Ta 0.000 0.000 0.000
Se1 Se 0.500 0.500 0.500

(14)
# ScTaSe meta-GGA SCAN single point on PBEsol structure
# E_form (uncorrected) = -106 meV per atom
# volume = 19.3 A^3/atom
# crystal system = cubic
# relative energy among the computed polymorphs = 99 kJ/mol of formula units
data_ScTaSe
_chemical_formula_sum 'Sc4 Ta4 Se4'
_cell_length_a 6.138
_cell_length_b 6.138
_cell_length_c 6.138
_cell_angle_alpha 90.00
_cell_angle_beta 90.00
_cell_angle_gamma 90.00
_symmetry_space_group_name_H-M 'F -4 3 m'
_symmetry_Int_Tables_number 216
_symmetry_space_group_name_Hall 'F -4 2 3'
loop_
_atom_site_label
_atom_site_type_symbol
_atom_site_fract_x
_atom_site_fract_y
_atom_site_fract_z
Sc1 Sc 0.000 0.000 0.000
Ta1 Ta 0.000 0.000 0.500
Se1 Se 0.250 0.250 0.250

(15)
# ScTa2Se meta-GGA SCAN single point on PBEsol structure
# E_form (uncorrected) = -42 meV per atom
# volume = 18.0 A^3/atom
# crystal system = tetragonal
data_ScTa2Se
_chemical_formula_sum 'Sc2 Ta4 Se2'
_cell_length_a 3.822
_cell_length_b 3.822
_cell_length_c 9.871
_cell_angle_alpha 90.00
_cell_angle_beta 90.00
_cell_angle_gamma 90.00
_symmetry_space_group_name_H-M 'I 4/m m m'
_symmetry_Int_Tables_number 139
_symmetry_space_group_name_Hall '-I 4 2'
loop_
_atom_site_label
_atom_site_type_symbol
_atom_site_fract_x
_atom_site_fract_y
_atom_site_fract_z
Sc1 Sc 0.000 0.000 0.000
Ta1 Ta 0.000 0.500 0.250
Se1 Se 0.000 0.000 0.500

no.,total magnetization (Bohr magnetons per cell)
1,0.000
2,0.000
3,0.000
4,0.027
5,0.000
6,0.005
7,1.792
8,0.000
9,0.955
10,3.457
11,1.941
12,3.212
13,0.000
14,0.000
15,0.000